(1)
A relaxed structure of BaNdCd. Source: Alexandria, functional PBE.

```
BaNdCd
1.0
5.549 0.000 0.000
-2.774 4.805 0.000
0.000 0.000 4.353
Ba Nd Cd
1 1 1
Cartesian
0.000 0.000 0.000
0.000 3.204 2.177
2.774 1.602 2.177
```

Values from the calculation:
As for the symmetry: No. 187. The calculation puts the density of states at the Fermi level at 0.975 states/eV per atom. The total energy is -2.5321 eV per atom.

***

(2)
A relaxed structure of Ba2NdCd6. Source: Alexandria, functional PBE.

```
Ba2NdCd6
1.0
9.108 0.000 0.000
-4.554 7.887 0.000
0.000 0.000 3.747
Ba Nd Cd
2 1 6
Cartesian
0.000 5.258 0.000
4.554 2.629 0.000
0.000 0.000 0.000
-1.483 2.569 1.873
-3.071 5.318 1.873
2.966 0.000 1.873
1.483 2.569 1.873
6.141 0.000 1.873
3.071 5.318 1.873
```

Values from the calculation:
As for the symmetry: No. 191. The calculation puts the density of states at the Fermi level at 0.841 states/eV per atom. The total energy is -1.8578 eV per atom.

***

(3)
A relaxed structure of Ba3NdCd4. Source: Alexandria, functional PBE.

```
Ba3NdCd4
1.0
4.109 0.000 0.000
0.000 4.109 0.000
0.000 0.000 16.898
Ba Nd Cd
3 1 4
Cartesian
0.000 0.000 0.000
0.000 0.000 4.445
0.000 0.000 12.454
0.000 0.000 8.449
2.054 2.054 2.209
2.054 2.054 6.758
2.054 2.054 10.141
2.054 2.054 14.689
```

Values from the calculation:
As for the symmetry: No. 123. The calculation puts the density of states at the Fermi level at 0.616 states/eV per atom. The total energy is -2.0819 eV per atom.

***

(4)
A relaxed structure of BaNd2Cd9. Source: Alexandria, functional PBE.

```
BaNd2Cd9
1.0
3.080 1.778 9.650
-3.080 1.778 9.650
0.000 -3.557 9.650
Ba Nd Cd
1 2 9
Cartesian
0.000 0.000 0.000
0.000 0.000 4.194
0.000 0.000 24.756
-1.583 -0.914 12.140
0.000 0.000 9.721
0.000 -1.828 16.809
-1.583 0.914 16.809
0.000 0.000 14.475
1.583 -0.914 12.140
0.000 1.828 12.140
0.000 0.000 19.229
1.583 0.914 16.809
```

Values from the calculation:
As for the symmetry: No. 166. The calculation puts the density of states at the Fermi level at 0.860 states/eV per atom. The total energy is -1.9082 eV per atom.

***

(5)
A relaxed structure of BaNd2Cd6. Source: Alexandria, functional PBE.

```
BaNd2Cd6
1.0
-1.851 4.453 7.798
1.851 -4.453 7.798
1.851 4.453 -7.798
Ba Nd Cd
1 2 6
Cartesian
0.000 0.000 0.000
1.851 0.000 5.471
0.000 4.453 2.327
1.851 1.589 -2.688
1.851 2.986 0.000
1.851 1.589 2.688
0.000 2.864 5.110
0.000 1.467 7.798
0.000 2.864 10.486
```

Values from the calculation:
As for the symmetry: No. 71. The calculation puts the density of states at the Fermi level at 0.539 states/eV per atom. The total energy is -2.1419 eV per atom.

***

(6)
A relaxed structure of BaNdCd17. Source: Alexandria, functional PBE.

```
BaNdCd17
1.0
5.123 2.958 5.043
-5.123 2.958 5.043
0.000 -5.916 5.043
Ba Nd Cd
1 1 17
Cartesian
0.000 0.000 0.000
0.000 0.000 5.061
0.000 -2.646 2.762
-2.291 1.323 2.762
-2.693 -1.555 7.587
0.000 -2.888 7.219
-2.501 1.444 7.219
-1.496 -2.649 10.059
-3.042 0.029 10.059
2.291 1.323 2.762
0.000 0.000 8.460
1.496 -2.649 10.059
-1.546 2.620 10.059
2.693 -1.555 7.587
0.000 3.110 7.587
0.000 0.000 11.460
2.501 1.444 7.219
3.042 0.029 10.059
1.546 2.620 10.059
```

Values from the calculation:
As for the symmetry: No. 160. The calculation puts the density of states at the Fermi level at 0.393 states/eV per atom. The total energy is -1.3414 eV per atom.

***

(7)
A relaxed structure of BaNd2Cd3. Source: Alexandria, functional PBE.

```
BaNd2Cd3
1.0
3.942 0.000 0.000
0.000 3.942 0.000
0.000 0.000 12.173
Ba Nd Cd
1 2 3
Cartesian
0.000 0.000 0.000
0.000 0.000 4.209
0.000 0.000 7.964
1.971 1.971 2.408
1.971 1.971 6.087
1.971 1.971 9.765
```

Values from the calculation:
As for the symmetry: No. 123. The calculation puts the density of states at the Fermi level at 0.936 states/eV per atom. The total energy is -2.6733 eV per atom.

***

(8)
A relaxed structure of BaNd2Cd. Source: Alexandria, functional PBE.

```
BaNd2Cd
1.0
1.864 1.076 12.449
-1.864 1.076 12.449
0.000 -2.153 12.449
Ba Nd Cd
1 2 1
Cartesian
0.000 0.000 0.000
0.000 0.000 3.734
0.000 0.000 33.612
0.000 0.000 18.673
```

Values from the calculation:
As for the symmetry: No. 166. The calculation puts the density of states at the Fermi level at 1.491 states/eV per atom. The total energy is -2.9502 eV per atom.